[1]
VASP calculation (PBE) on an optimized crystal structure of Hf2MgSc3N6.

a = 13.869 Å, b = 3.191 Å, c = 6.381 Å
α = 90.00°, β = 103.36°, γ = 90.00°
Space group C2/m (No. 12)
Symmetry-distinct sites (fractional):
Hf 0.163 0.000 0.327 x4
Mg 0.000 0.500 0.000 x2
Sc 0.000 0.500 0.500 x2
Sc 0.163 0.000 0.835 x4
N 0.003 0.000 0.255 x4
N 0.168 0.500 0.089 x4
N 0.168 0.500 0.579 x4

Properties
Formation energy (no corrections): -1777 meV/atom
Uncorrected energy: -9.315 eV per atom

---

[2]
VASP calculation (PBE) on an optimized crystal structure of RbScSb2Te.

a = 5.801 Å, b = 5.801 Å, c = 5.985 Å
α = 90.00°, β = 90.00°, γ = 90.00°
Space group P4/mmm (No. 123)
Symmetry-distinct sites (fractional):
Rb 0.000 0.000 0.000 x1
Sc 0.500 0.500 0.500 x1
Sb 0.000 0.500 0.000 x2
Te 0.000 0.000 0.500 x1

Properties
Formation energy (no corrections): 1158 meV/atom
Uncorrected energy: -2.579 eV per atom

---

[3]
VASP calculation (PBE) on an optimized crystal structure of CsSi2Ni.

a = 6.961 Å, b = 6.961 Å, c = 6.961 Å
α = 90.00°, β = 90.00°, γ = 90.00°
Space group Fm-3m (No. 225)
Symmetry-distinct sites (fractional):
Cs 0.000 0.000 0.000 x4
Si 0.250 0.250 0.250 x8
Ni 0.000 0.000 0.500 x4

Properties
Formation energy (no corrections): 1188 meV/atom
Uncorrected energy: -3.182 eV per atom

---

Question: The highest formation energy (no corrections) belongs to which entry?
Answer: CsSi2Ni

---

Question: What is the formula in the first record?
Answer: Hf2MgSc3N6

---

Question: Number 1 is which compound?
Answer: Hf2MgSc3N6